1.
Here is a relaxed Y2CuW crystal from the Alexandria database. Energies are from PBE-GGA.

Output
As for the volume: 84.9 Å³/f.u. The formation energy comes out at 486 meV/atom. The calculation puts the mass density at 8.320 g/cm3. For the total energy, the calculation gives -7.0081 eV/atom.

Cell and atoms, written as CIF:
```
data_Y2CuW
_chemical_formula_sum 'Y4 Cu2 W2'
_cell_length_a 4.235
_cell_length_b 4.235
_cell_length_c 9.462
_cell_angle_alpha 90.00
_cell_angle_beta 90.00
_cell_angle_gamma 90.00
_space_group_name_H-M_alt 'I -4 m 2'
_space_group_IT_number 119
_space_group_name_Hall 'I -4 -2'
loop_
_atom_site_label
_atom_site_type_symbol
_atom_site_fract_x
_atom_site_fract_y
_atom_site_fract_z
Y1 Y 0.000 0.000 0.000
Y2 Y 0.000 0.500 0.250
Cu1 Cu 0.000 0.500 0.750
W1 W 0.000 0.000 0.500
```


2.
Here is a relaxed ZnCu3W crystal from the Alexandria database. Energies are from PBE-GGA.

Output
As for the volume: 105.5 Å³/f.u. The formation energy comes out at 1614 meV/atom. The calculation puts the mass density at 6.927 g/cm3. For the total energy, the calculation gives -3.6893 eV/atom.

Cell and atoms, written as CIF:
```
data_ZnCu3W
_chemical_formula_sum 'Zn1 Cu3 W1'
_cell_length_a 4.725
_cell_length_b 4.725
_cell_length_c 4.725
_cell_angle_alpha 90.00
_cell_angle_beta 90.00
_cell_angle_gamma 90.00
_space_group_name_H-M_alt 'P m -3 m'
_space_group_IT_number 221
_space_group_name_Hall '-P 4 2 3'
loop_
_atom_site_label
_atom_site_type_symbol
_atom_site_fract_x
_atom_site_fract_y
_atom_site_fract_z
Zn1 Zn 0.000 0.000 0.000
Cu1 Cu 0.000 0.500 0.500
W1 W 0.500 0.500 0.500
```


3.
Here is a relaxed ZnCuW2 crystal from the Alexandria database. Energies are from PBE-GGA.

Output
As for the volume: 58.7 Å³/f.u. The formation energy comes out at 227 meV/atom. The calculation puts the mass density at 14.039 g/cm3. For the total energy, the calculation gives -7.5920 eV/atom.

Cell and atoms, written as CIF:
```
data_ZnCuW2
_chemical_formula_sum 'Zn1 Cu1 W2'
_cell_length_a 2.681
_cell_length_b 2.681
_cell_length_c 8.172
_cell_angle_alpha 90.00
_cell_angle_beta 90.00
_cell_angle_gamma 90.00
_space_group_name_H-M_alt 'P 4 m m'
_space_group_IT_number 99
_space_group_name_Hall 'P 4 -2'
loop_
_atom_site_label
_atom_site_type_symbol
_atom_site_fract_x
_atom_site_fract_y
_atom_site_fract_z
Zn1 Zn 0.000 0.000 0.000
Cu1 Cu 0.500 0.500 0.221
W1 W 0.000 0.000 0.461
W2 W 0.500 0.500 0.743
```


Question: What is the formula in the third record?
Answer: ZnCuW2